1.
The following is a DFT calculation (meta-GGA SCAN) of a crystal of KLi3Sb relaxed with PBEsol.

Values from the calculation:
Mass density: 2.04 Mg/m³
Uncorrected formation energy: -0.35 eV/atom
Space group: Pm-3m

Cell lengths 5.2924, 5.2924, 5.2924 Å; angles 90.00, 90.00, 90.00 degrees
Positions (direct):
Sb 0.0000 0.0000 0.0000
K 0.5000 0.5000 0.5000
Li 0.0000 0.5000 0.0000
Li 0.0000 0.0000 0.5000
Li 0.5000 0.0000 0.0000

=====

2.
The following is a DFT calculation (meta-GGA SCAN) of a crystal of KLiSb relaxed with PBEsol.

Values from the calculation:
Mass density: 3.11 Mg/m³
Uncorrected formation energy: -0.23 eV/atom
Polymorph energy (0 for the lowest one): 0.226 eV per atom
Space group: F-43m

Cell lengths 5.0225, 5.0225, 5.0225 Å; angles 60.00, 60.00, 60.00 degrees
Site moments in Bohr magnetons follow the coordinates.
Positions (direct):
Sb 0.0000 0.0000 0.0000  -0.34
K 0.5000 0.5000 0.5000  -0.01
Li 0.2500 0.2500 0.2500  -0.01

=====

3.
The following is a DFT calculation (meta-GGA SCAN) of a crystal of KLi2Sb relaxed with PBEsol.

Values from the calculation:
Mass density: 2.68 Mg/m³
Uncorrected formation energy: -0.27 eV/atom
Space group: Pmmm

Cell lengths 3.2931, 4.3767, 7.5083 Å; angles 90.00, 90.00, 90.00 degrees
Positions (direct):
Sb 0.5000 0.5000 0.0000
K 0.5000 0.5000 0.5000
Li 0.0000 0.0000 0.8318
Li 0.0000 0.0000 0.1682

=====

4.
The following is a DFT calculation (meta-GGA SCAN) of a crystal of KLiSb relaxed with PBEsol.

Values from the calculation:
Mass density: 3.18 Mg/m³
Uncorrected formation energy: -0.45 eV/atom
Polymorph energy (0 for the lowest one): 0.000 eV per atom
Space group: Imm2

Cell lengths 3.3844, 4.4328, 6.4715 Å; angles 110.03, 105.16, 90.00 degrees
Positions (direct):
Sb 0.2870 0.2870 0.5739
K 0.9881 0.9881 0.9762
Li 0.7249 0.7249 0.4499

=====

5.
The following is a DFT calculation (meta-GGA SCAN) of a crystal of KLiSbTe2 relaxed with PBEsol.

Values from the calculation:
Mass density: 3.46 Mg/m³
Uncorrected formation energy: 0.66 eV/atom
Space group: P4/mmm

Cell lengths 5.7431, 5.9456, 5.9456 Å; angles 90.00, 90.00, 90.00 degrees
Positions (direct):
Sb 0.5000 0.0000 0.0000
K 0.0000 0.0000 0.0000
Te 0.0000 0.0000 0.5000
Te 0.0000 0.5000 0.0000
Li 0.5000 0.5000 0.5000

=====

6.
The following is a DFT calculation (meta-GGA SCAN) of a crystal of KLi2Sc relaxed with PBEsol.

Values from the calculation:
Mass density: 1.46 Mg/m³
ΔH_f (0 K): 1.4 eV/f.u.
Polymorph energy (0 for the lowest one): 0.077 eV per atom
Space group: P4/mmm

Cell lengths 3.2747, 5.8365, 5.8365 Å; angles 90.00, 90.00, 90.00 degrees
Site moments in Bohr magnetons follow the coordinates.
Positions (direct):
K 0.5000 0.0000 0.0000  0.00
Li 0.0000 0.0000 0.5000  0.01
Li 0.0000 0.5000 0.0000  0.01
Sc 0.5000 0.5000 0.5000  0.36

=====

Question: The lowest mass density belongs to which entry?
Answer: KLi2Sc